First-principles (GGA-PBE) data for an optimized crystal structure of TaAl2, as listed in Alexandria.

Output
- E_tot: -6.5560 eV per atom
- ΔH_f (0 K): -110 meV per atom

Structure (POSCAR):
```
TaAl2
1.0
-1.451 1.869 4.572
1.451 -1.869 4.572
1.451 1.869 -4.572
Ta Al
1 2
direct
0.000 0.000 0.000
0.330 0.330 0.000
0.670 0.670 0.000
```